Record 1
Crystalline TbPrY2 at its relaxed geometry. Source: Alexandria, functional PBE-GGA.

Crystal system: tetragonal
Calculated volume: 133 Å³ per cell
Mass density: 6.0 g/cm³
Formation enthalpy at 0 K: 0.02 eV/atom

abc: 5.103 5.103 5.089
angles: 90.00 90.00 90.00
Space group P4/mmm (No. 123)
One atom of each set of equivalent atoms:
Tb: 0.000 0.000 0.000 [1 per cell]
Pr: 0.500 0.500 0.000 [1 per cell]
Y: 0.000 0.500 0.500 [2 per cell]

Record 2
Crystalline TbPrY2 at its relaxed geometry. Source: Alexandria, functional PBE-GGA.

Crystal system: tetragonal
Calculated volume: 133 Å³ per cell
Mass density: 6.0 g/cm³
Formation enthalpy at 0 K: 0.02 eV/atom

abc: 3.607 3.607 10.198
angles: 90.00 90.00 90.00
Space group P4/mmm (No. 123)
One atom of each set of equivalent atoms:
Tb: 0.000 0.000 0.000 [1 per cell]
Pr: 0.000 0.000 0.500 [1 per cell]
Y: 0.500 0.500 0.245 [2 per cell]

Record 3
Crystalline Tb8Pr2Y3 at its relaxed geometry. Source: Alexandria, functional PBE-GGA.

Crystal system: orthorhombic
Calculated volume: 893 Å³ per cell
Mass density: 6.8 g/cm³
Formation enthalpy at 0 K: 0.23 eV/atom

abc: 7.660 20.880 5.583
angles: 90.00 90.00 90.00
Space group Cmmm (No. 65)
One atom of each set of equivalent atoms:
Tb: 0.000 0.129 0.000 [4 per cell]
Tb: 0.000 0.338 0.000 [4 per cell]
Tb: 0.211 0.394 0.500 [8 per cell]
Pr: 0.000 0.241 0.500 [4 per cell]
Y: 0.000 0.000 0.500 [2 per cell]
Y: 0.214 0.500 0.000 [4 per cell]

Record 4
Crystalline Tb4Pr5Y2 at its relaxed geometry. Source: Alexandria, functional PBE-GGA.

Crystal system: monoclinic
Calculated volume: 751 Å³ per cell
Mass density: 6.7 g/cm³
Formation enthalpy at 0 K: 0.07 eV/atom

abc: 17.884 3.587 11.739
angles: 90.00 94.05 90.00
Space group C2/m (No. 12)
One atom of each set of equivalent atoms:
Tb: 0.036 0.000 0.261 [4 per cell]
Tb: 0.140 0.500 0.796 [4 per cell]
Pr: 0.000 0.500 0.000 [2 per cell]
Pr: 0.096 0.000 0.537 [4 per cell]
Pr: 0.177 0.000 0.071 [4 per cell]
Y: 0.216 0.500 0.354 [4 per cell]